No. 1
CdNiSnTe3 | the Open Quantum Materials Database | GGA-PBE | relaxed; VASP energy = -3.388 eV per atom; symmetry = Cmcm (63); calculated volume = 319.2 Å³/cell
1.0
7.625 -1.981 0.000
7.625 1.981 0.000
0.000 0.000 10.568
Cd Ni Sn Te
2 2 2 6
direct
0.000 0.000 0.000 Cd
0.000 0.000 0.500 Cd
0.469 0.469 0.250 Ni
0.531 0.531 0.750 Ni
0.757 0.757 0.250 Sn
0.243 0.243 0.750 Sn
0.352 0.352 0.071 Te
0.076 0.076 0.250 Te
0.352 0.352 0.429 Te
0.648 0.648 0.571 Te
0.924 0.924 0.750 Te
0.648 0.648 0.929 Te

***

No. 2
TlCuNiTe3 | the Open Quantum Materials Database | GGA-PBE | relaxed; VASP energy = -3.607 eV per atom; symmetry = Pnma (62); calculated volume = 614.7 Å³/cell
1.0
-1.459 -3.076 -1.850
9.741 0.127 -7.891
6.384 -7.695 7.758
Cu Ni Te Tl
4 4 12 4
direct
0.750 0.253 0.237 Cu
0.250 0.753 0.263 Cu
0.750 0.247 0.737 Cu
0.250 0.747 0.763 Cu
0.250 0.325 0.072 Ni
0.750 0.825 0.428 Ni
0.250 0.175 0.572 Ni
0.750 0.675 0.928 Ni
0.250 0.696 0.059 Te
0.750 0.439 0.153 Te
0.250 0.139 0.164 Te
0.750 0.639 0.336 Te
0.250 0.939 0.347 Te
0.750 0.196 0.441 Te
0.250 0.804 0.559 Te
0.750 0.061 0.653 Te
0.250 0.361 0.664 Te
0.750 0.861 0.836 Te
0.250 0.561 0.847 Te
0.750 0.304 0.941 Te
0.750 0.911 0.106 Tl
0.250 0.411 0.394 Tl
0.750 0.589 0.606 Tl
0.250 0.089 0.894 Tl

***

No. 3
RbTcAgTe3 | the Open Quantum Materials Database | GGA-PBE | relaxed; VASP energy = -4.115 eV per atom; symmetry = Cmcm (63); calculated volume = 362.0 Å³/cell
1.0
-8.478 1.154 0.677
-7.946 -2.620 1.912
1.288 3.509 10.160
Ag Rb Tc Te
2 2 2 6
direct
0.547 0.547 0.250 Ag
0.453 0.453 0.750 Ag
0.238 0.238 0.250 Rb
0.762 0.762 0.750 Rb
0.000 0.000 0.000 Tc
0.000 0.000 0.500 Tc
0.615 0.615 0.022 Te
0.933 0.933 0.250 Te
0.615 0.615 0.478 Te
0.385 0.385 0.522 Te
0.067 0.067 0.750 Te
0.385 0.385 0.978 Te

***

No. 4
CsSmU | the Open Quantum Materials Database | GGA-PBE | relaxed; VASP energy = -3.691 eV per atom; symmetry = F-43m (216); calculated volume = 145.3 Å³/cell
1.0
0.000 4.173 4.173
4.173 0.000 4.173
4.173 4.173 0.000
Cs Sm U
1 1 1
direct
0.250 0.250 0.250 Cs
0.000 0.000 0.000 Sm
0.750 0.750 0.750 U

***

No. 5
HgPd3PbSe2 | the Open Quantum Materials Database | GGA-PBE | relaxed; VASP energy = -4.132 eV per atom; symmetry = R-3m (166); calculated volume = 148.9 Å³/cell
1.0
4.512 0.472 3.788
5.527 -0.045 -2.092
3.155 4.996 0.105
Hg Pb Pd Se
1 1 3 2
direct
0.500 0.500 0.500 Hg
0.000 0.000 0.000 Pb
0.500 0.500 0.000 Pd
0.500 0.000 0.500 Pd
0.000 0.500 0.500 Pd
0.212 0.212 0.212 Se
0.788 0.788 0.788 Se

***

No. 6
Dy2Er3Lu2Ni2Se2 | the Open Quantum Materials Database | GGA-PBE | relaxed; VASP energy = -5.372 eV per atom; symmetry = Imm2 (44); calculated volume = 260.4 Å³/cell
1.0
-1.887 7.468 4.619
1.887 -7.468 4.619
1.887 7.468 -4.619
Dy Er Lu Ni Se
2 3 2 2 2
direct
0.094 0.735 0.359 Dy
0.376 0.735 0.641 Dy
0.994 0.994 0.000 Er
0.708 0.582 0.126 Er
0.456 0.582 0.874 Er
0.693 0.376 0.317 Lu
0.059 0.376 0.683 Lu
0.306 0.068 0.238 Ni
0.830 0.068 0.762 Ni
0.336 0.336 0.000 Se
0.737 0.237 0.500 Se